[1]
# KZrIn2, optimized geometry, DFT GGA-PBE
# **DOS(E_F)**: 2.8 states/eV/cell
# **Distance to the lowest polymorph of the same formula**: 0.000 eV per atom
# **ΔH_f (0 K)**: -0.079 eV per atom
data_KZrIn2
_chemical_formula_sum 'K1 Zr1 In2'
_space_group_name_H-M_alt 'P m m m'
_space_group_IT_number 47
_space_group_name_Hall '-P 2 2'
_cell_length_a 3.225
_cell_length_b 4.449
_cell_length_c 7.952
_cell_angle_alpha 90.00
_cell_angle_beta 90.00
_cell_angle_gamma 90.00
loop_
_atom_site_label
_atom_site_type_symbol
_atom_site_fract_x
_atom_site_fract_y
_atom_site_fract_z
_atom_site_occupancy
K1 K 0.000 0.000 0.000 1
Zr1 Zr 0.000 0.000 0.500 1
In1 In 0.500 0.500 0.310 1

---

[2]
# KZr2In, optimized geometry, DFT GGA-PBE
# **DOS(E_F)**: 15.2 states/eV/cell
# **ΔH_f (0 K)**: 0.632 eV per atom
data_KZr2In
_chemical_formula_sum 'K4 Zr8 In4'
_space_group_name_H-M_alt 'F -4 3 m'
_space_group_IT_number 216
_space_group_name_Hall 'F -4 2 3'
_cell_length_a 7.530
_cell_length_b 7.530
_cell_length_c 7.530
_cell_angle_alpha 90.00
_cell_angle_beta 90.00
_cell_angle_gamma 90.00
loop_
_atom_site_label
_atom_site_type_symbol
_atom_site_fract_x
_atom_site_fract_y
_atom_site_fract_z
_atom_site_occupancy
K1 K 0.000 0.000 0.000 1
Zr1 Zr 0.000 0.000 0.500 1
Zr2 Zr 0.250 0.250 0.750 1
In1 In 0.250 0.250 0.250 1

---

[3]
# K2ZrIn, optimized geometry, DFT GGA-PBE
# **DOS(E_F)**: 4.3 states/eV/cell
# **ΔH_f (0 K)**: 0.310 eV per atom
data_K2ZrIn
_chemical_formula_sum 'K2 Zr1 In1'
_space_group_name_H-M_alt 'P 4 m m'
_space_group_IT_number 99
_space_group_name_Hall 'P 4 -2'
_cell_length_a 4.022
_cell_length_b 4.022
_cell_length_c 10.543
_cell_angle_alpha 90.00
_cell_angle_beta 90.00
_cell_angle_gamma 90.00
loop_
_atom_site_label
_atom_site_type_symbol
_atom_site_fract_x
_atom_site_fract_y
_atom_site_fract_z
_atom_site_occupancy
K1 K 0.000 0.000 0.000 1
K2 K 0.500 0.500 0.382 1
Zr1 Zr 0.000 0.000 0.662 1
In1 In 0.500 0.500 0.734 1

---

[4]
# K2ZrIn, optimized geometry, DFT GGA-PBE
# **DOS(E_F)**: 8.6 states/eV/cell
# **ΔH_f (0 K)**: 0.523 eV per atom
data_K2ZrIn
_chemical_formula_sum 'K4 Zr2 In2'
_space_group_name_H-M_alt 'I m m 2'
_space_group_IT_number 44
_space_group_name_Hall 'I 2 -2'
_cell_length_a 3.351
_cell_length_b 6.703
_cell_length_c 13.533
_cell_angle_alpha 90.00
_cell_angle_beta 90.00
_cell_angle_gamma 90.00
loop_
_atom_site_label
_atom_site_type_symbol
_atom_site_fract_x
_atom_site_fract_y
_atom_site_fract_z
_atom_site_occupancy
K1 K 0.000 0.000 0.000 1
K2 K 0.000 0.500 0.207 1
Zr1 Zr 0.000 0.500 0.789 1
In1 In 0.000 0.000 0.466 1